# 1
A plane-wave DFT calculation with PBE was carried out for a relaxed structure of ScHAu.

Cell and atoms, written as POSCAR:
```
ScHAu
1.0
-1.654 3.065 0.434
-2.328 -1.555 2.116
3.875 1.348 5.254
Sc Au H
2 2 2
Direct
0.500 0.000 0.164 Sc
0.000 0.500 0.836 Sc
0.500 0.000 0.619 Au
0.000 0.500 0.381 Au
0.500 0.500 0.000 H
0.000 0.000 0.000 H
```

Values from the calculation:
VASP energy = -5.065 eV per atom
symmetry = P4/nmm, No. 129
density = 9.83 g cm⁻³
M_tot = 0.00 Bohr magnetons per cell


# 2
A plane-wave DFT calculation with PBE was carried out for a relaxed structure of Sc3HAu.

Cell and atoms, written as POSCAR:
```
Sc3HAu
1.0
-1.554 -1.598 -3.795
-2.896 -2.459 2.221
-2.927 3.281 -0.184
Au Sc H
1 3 1
Direct
0.500 0.500 0.500 Au
0.000 0.500 0.000 Sc
0.500 0.000 0.000 Sc
0.000 0.000 0.500 Sc
0.000 0.000 0.000 H
```

Values from the calculation:
VASP energy = -5.553 eV per atom
symmetry = Pm-3m, No. 221
density = 6.48 g cm⁻³
M_tot = 1.21 Bohr magnetons per cell